No. 1
# TbTm3Co8

Crystalline TbTm3Co8 at its relaxed geometry (PBE-GGA, Alexandria).

Cell: 5.035 5.035 8.730 Å, 73.24 73.24 60.00°
Atoms (fractional coordinates):
Co 0.438 0.939 0.185
Co 0.187 0.187 0.438
Co 0.435 0.938 0.689
Co 0.938 0.938 0.689
Co 0.688 0.688 0.937
Co 0.438 0.438 0.185
Co 0.939 0.438 0.185
Co 0.938 0.435 0.689
Tm 0.000 0.000 0.999
Tm 0.500 0.500 0.501
Tm 0.375 0.375 0.875
Tb 0.875 0.875 0.375

Summary:
- Formation enthalpy at 0 K: -0.243 eV per atom

No. 2
# K8Te2Se

Crystalline K8Te2Se at its relaxed geometry (PBE-GGA, Alexandria).

Cell: 5.734 10.082 9.900 Å, 80.16 106.83 90.00°
Atoms (fractional coordinates):
Te 0.251 0.752 0.502
Te 0.749 0.248 0.498
K 0.186 0.441 0.371
K 0.558 0.297 0.116
K 0.814 0.559 0.629
K 0.938 0.167 0.875
K 0.316 0.062 0.633
K 0.062 0.833 0.125
K 0.442 0.703 0.884
K 0.684 0.938 0.367
Se 0.500 0.000 0.000

Summary:
- ΔE_f (raw): -811 meV per atom

No. 3
# Sn3MoOs

Crystalline Sn3MoOs at its relaxed geometry (PBE-GGA, Alexandria).

Cell: 5.130 5.130 5.130 Å, 90.00 90.00 90.00°
Atoms (fractional coordinates):
Sn 0.000 0.000 0.500
Sn 0.000 0.500 0.000
Sn 0.500 0.000 0.000
Os 0.000 0.000 0.000
Mo 0.500 0.500 0.500

Summary:
- ΔE to the lowest computed polymorph: 0 meV per atom
- Formation enthalpy at 0 K: 1.059 eV per atom